Entry 1:
Below is InPd4Pb after structural relaxation, with properties calculated at the PBE-GGA level.

polymorph energy (0 for the lowest one) = 0.021 eV per atom
formation energy from the elements = -1.8 eV/f.u.

Lattice parameters (Å, degrees): 5.035 8.596 5.055 90.00 103.18 90.00
Fractional coordinates of all 12 atoms:
In 0.000 0.000 0.000
In 0.000 0.500 0.500
Pd 0.001 0.168 0.501
Pd 0.001 0.332 0.001
Pd 0.498 0.666 0.498
Pd 0.498 0.834 0.998
Pd 0.502 0.166 0.002
Pd 0.502 0.334 0.502
Pd 0.999 0.668 0.999
Pd 0.999 0.832 0.499
Pb 0.500 0.000 0.500
Pb 0.500 0.500 0.000

Entry 2:
Below is Th2HgAs after structural relaxation, with properties calculated at the PBE-GGA level.

polymorph energy (0 for the lowest one) = 0.000 eV per atom
formation energy from the elements = -2.8 eV/f.u.

Lattice parameters (Å, degrees): 8.164 8.164 8.164 29.55 29.55 29.55
Fractional coordinates of all 4 atoms:
Th 0.241 0.241 0.241
Th 0.759 0.759 0.759
Hg 0.000 0.000 0.000
As 0.500 0.500 0.500

Entry 3:
Below is Zr3RuCl after structural relaxation, with properties calculated at the PBE-GGA level.

polymorph energy (0 for the lowest one) = 0.100 eV per atom

Lattice parameters (Å, degrees): 5.082 5.082 5.082 90.00 90.00 90.00
Fractional coordinates of all 5 atoms:
Zr 0.000 0.000 0.500
Zr 0.000 0.500 0.000
Zr 0.500 0.000 0.000
Ru 0.000 0.000 0.000
Cl 0.500 0.500 0.500

Entry 4:
Below is LaAlCr after structural relaxation, with properties calculated at the PBE-GGA level.

formation energy from the elements = 0.3 eV/f.u.

Lattice parameters (Å, degrees): 4.794 4.794 3.666 90.00 90.00 120.00
Fractional coordinates of all 3 atoms:
La 0.000 0.000 0.000
Al 0.333 0.667 0.500
Cr 0.667 0.333 0.500